1.
PBE KCd2I2, relaxed; density = 3.24 g cm⁻³; space group = P4/mbm, No. 127; energy above the lowest structure with this stoichiometry = 76 meV per atom
1.0
9.5723 0.0000 0.0000
0.0000 9.5723 0.0000
0.0000 0.0000 5.7902
I K Cd
4 2 4
direct
0.1964 0.6964 0.0000
0.6964 0.8036 0.0000
0.8036 0.3036 0.0000
0.3036 0.1964 0.0000
0.0000 0.0000 0.0000
0.5000 0.5000 0.0000
0.1047 0.6047 0.5000
0.6047 0.8953 0.5000
0.8953 0.3953 0.5000
0.3953 0.1047 0.5000


2.
PBE KCdI4, relaxed; density = 3.48 g cm⁻³; space group = Cmcm, No. 63
1.0
7.2412 0.1891 0.0000
-0.3877 7.2333 0.0000
0.0000 0.0000 11.9782
K Cd I
2 2 8
direct
0.2181 0.2181 0.7500
0.7819 0.7819 0.2500
0.7858 0.7858 0.7500
0.2142 0.2142 0.2500
0.8364 0.2794 0.2500
0.1636 0.7206 0.7500
0.2794 0.8364 0.2500
0.7206 0.1636 0.7500
0.6546 0.6546 0.5379
0.3454 0.3454 0.0379
0.6546 0.6546 0.9621
0.3454 0.3454 0.4621


3.
PBE K5CdI8, relaxed; density = 3.50 g cm⁻³; space group = I-4, No. 82
1.0
-1.9014 -9.1354 0.7331
8.4000 1.5838 -3.8132
-0.5520 3.1350 8.8020
K Cd I
5 1 8
direct
0.0184 0.4006 0.1502
0.8498 0.8682 0.2504
0.7496 0.5994 0.6178
0.5000 0.0000 0.5000
0.3822 0.1318 0.9816
0.2500 0.5000 0.7500
0.1444 0.7175 0.9623
0.0377 0.1822 0.7552
0.7341 0.2199 0.3283
0.6717 0.4058 0.8916
0.4858 0.5942 0.2659
0.5731 0.8178 0.8556
0.2448 0.2825 0.4269
0.1084 0.7801 0.5142


4.
PBE KCd2I2, relaxed; density = 4.34 g cm⁻³; space group = I4/mmm, No. 139; energy above the lowest structure with this stoichiometry = 37 meV per atom
1.0
-1.8065 4.6359 3.7771
-4.8349 -3.4542 1.9272
-0.4611 -1.3320 6.5799
I K Cd
2 1 2
direct
0.7500 0.2500 0.5000
0.2500 0.7500 0.5000
0.0000 0.0000 0.0000
0.3617 0.3617 0.2765
0.6383 0.6383 0.7235


no.,E_form (uncorrected) (eV/atom)
1,-0.4882
2,-0.6544
3,-1.0818
4,-0.5271